No. 1
Compound: LiBe2Re
Source: the Alexandria database
Functional: GGA-PBE
Structure: relaxed

Cell lengths 8.523, 8.523, 8.523 Å; angles 17.72, 17.72, 17.72 degrees
Atoms (fractional coordinates):
Be1 0.997 0.997 0.997
Be2 0.258 0.258 0.258
Li1 0.502 0.502 0.502
Re1 0.742 0.742 0.742

## Properties
- Energy above the most stable polymorph in this dataset: 0.326 eV per atom
- ΔH_f (0 K): 0.306 eV per atom


No. 2
Compound: Tl3HF6
Source: the Alexandria database
Functional: GGA-PBE
Structure: relaxed

Cell lengths 5.553, 8.232, 8.232 Å; angles 101.84, 90.00, 90.00 degrees
Atoms (fractional coordinates):
Tl1 0.477 0.934 0.696
Tl2 0.977 0.696 0.934
Tl3 0.443 0.400 0.600
Tl4 0.943 0.600 0.400
Tl5 0.977 0.066 0.304
Tl6 0.477 0.304 0.066
H1 0.888 0.184 0.816
H2 0.388 0.816 0.184
F1 0.209 0.646 0.610
F2 0.709 0.610 0.646
F3 0.290 0.460 0.849
F4 0.790 0.849 0.460
F5 0.985 0.117 0.883
F6 0.717 0.263 0.737
F7 0.217 0.737 0.263
F8 0.485 0.883 0.117
F9 0.290 0.151 0.540
F10 0.790 0.540 0.151
F11 0.209 0.390 0.354
F12 0.709 0.354 0.390

## Properties
- Total DFT energy (no corrections): -0.2919 Ry/atom


No. 3
Compound: Tl3Sn2Hg
Source: the Alexandria database
Functional: GGA-PBE
Structure: relaxed

Cell lengths 6.078, 9.292, 9.292 Å; angles 136.99, 89.99, 90.01 degrees
Atoms (fractional coordinates):
Tl1 0.750 0.859 0.141
Tl2 0.250 0.141 0.859
Tl3 0.750 0.431 0.072
Tl4 0.250 0.569 0.928
Tl5 0.750 0.928 0.569
Tl6 0.250 0.072 0.431
Sn1 0.000 0.264 0.264
Sn2 0.500 0.736 0.736
Sn3 0.000 0.736 0.736
Sn4 0.500 0.264 0.264
Hg1 0.750 0.349 0.651
Hg2 0.250 0.651 0.349

## Properties
- Energy above the most stable polymorph in this dataset: 0.019 eV per atom
- ΔH_f (0 K): 0.043 eV per atom


No. 4
Compound: Sc2Be2Os
Source: the Alexandria database
Functional: GGA-PBE
Structure: relaxed

Cell lengths 3.542, 3.542, 6.148 Å; angles 73.26, 73.26, 90.00 degrees
Atoms (fractional coordinates):
Sc1 0.750 0.250 0.500
Sc2 0.250 0.750 0.500
Be1 0.415 0.415 0.171
Be2 0.585 0.585 0.829
Os1 0.000 0.000 0.000

## Properties
- Energy above the most stable polymorph in this dataset: 0.660 eV per atom
- ΔH_f (0 K): 0.519 eV per atom


No. 5
Compound: NaLa2Mn
Source: the Alexandria database
Functional: GGA-PBE
Structure: relaxed

Cell lengths 7.649, 7.649, 7.502 Å; angles 59.35, 59.35, 90.00 degrees
Atoms (fractional coordinates):
Na1 0.500 0.500 0.000
Na2 0.250 0.750 0.500
Mn1 0.000 0.000 0.000
Mn2 0.750 0.250 0.500
La1 0.791 0.125 0.250
La2 0.959 0.625 0.250
La3 0.375 0.209 0.750
La4 0.875 0.041 0.750

## Properties
- Energy above the most stable polymorph in this dataset: 0.130 eV per atom
- ΔH_f (0 K): 0.466 eV per atom


No. 6
Compound: LiTaBe
Source: the Alexandria database
Functional: GGA-PBE
Structure: relaxed

Cell lengths 15.048, 7.684, 7.684 Å; angles 152.50, 161.45, 18.55 degrees
Atoms (fractional coordinates):
Be1 0.236 0.722 0.278
Be2 0.764 0.278 0.722
Li1 0.772 0.434 0.566
Li2 0.228 0.566 0.434
Ta1 0.273 0.304 0.696
Ta2 0.727 0.696 0.304

## Properties
- Energy above the most stable polymorph in this dataset: 0.038 eV per atom
- ΔH_f (0 K): 0.167 eV per atom


No. 7
Compound: SrTc2O6
Source: the Alexandria database
Functional: GGA-PBE
Structure: relaxed

Cell lengths 5.355, 5.355, 5.198 Å; angles 90.00, 90.00, 120.00 degrees
Last column: magnetic moment on the atom in μB.
Atoms (fractional coordinates):
Sr1 0.000 0.000 0.000  0.01
Tc1 0.333 0.667 0.500  0.71
Tc2 0.667 0.333 0.500  0.71
O1 0.617 0.000 0.300  0.03
O2 0.383 0.383 0.300  0.03
O3 0.000 0.617 0.300  0.03
O4 0.617 0.617 0.700  0.03
O5 0.000 0.383 0.700  0.03
O6 0.383 0.000 0.700  0.03

## Properties
- Energy above the most stable polymorph in this dataset: 0.005 eV per atom


No. 8
Compound: LiCaNp2Se4
Source: the Alexandria database
Functional: GGA-PBE
Structure: relaxed

Cell lengths 4.120, 7.105, 7.191 Å; angles 109.30, 90.00, 90.00 degrees
Last column: magnetic moment on the atom in μB.
Atoms (fractional coordinates):
Li1 0.500 0.500 0.000  0.00
Ca1 0.000 0.000 0.000  0.04
Np1 0.500 0.000 0.500  4.14
Np2 0.000 0.500 0.500  4.15
Se1 0.500 0.255 0.249  -0.06
Se2 0.500 0.745 0.751  -0.06
Se3 0.000 0.254 0.752  -0.07
Se4 0.000 0.746 0.248  -0.07

## Properties
- Total DFT energy (no corrections): -0.5005 Ry/atom


No. 9
Compound: BaMn2Pt
Source: the Alexandria database
Functional: GGA-PBE
Structure: relaxed

Cell lengths 7.379, 7.379, 7.379 Å; angles 152.44, 147.12, 43.42 degrees
Last column: magnetic moment on the atom in μB.
Atoms (fractional coordinates):
Ba1 0.310 0.810 0.500  0.00
Mn1 0.021 0.021 0.000  3.93
Mn2 0.652 0.152 0.500  3.90
Pt1 0.517 0.517 0.000  0.30

## Properties
- ΔH_f (0 K): 0.223 eV per atom


No. 10
Compound: GdTl2Ag
Source: the Alexandria database
Functional: GGA-PBE
Structure: relaxed

Cell lengths 5.202, 5.202, 5.202 Å; angles 60.00, 60.00, 60.00 degrees
Last column: magnetic moment on the atom in μB.
Atoms (fractional coordinates):
Tl1 0.250 0.250 0.250  -0.01
Tl2 0.750 0.750 0.750  -0.01
Gd1 0.000 0.000 0.000  6.96
Ag1 0.500 0.500 0.500  -0.01

## Properties
- Energy above the most stable polymorph in this dataset: 0.011 eV per atom
- ΔH_f (0 K): -0.184 eV per atom


No. 11
Compound: Cu2HWCl
Source: the Alexandria database
Functional: GGA-PBE
Structure: relaxed

Cell lengths 4.893, 4.553, 4.893 Å; angles 90.00, 90.00, 90.00 degrees
Last column: magnetic moment on the atom in μB.
Atoms (fractional coordinates):
H1 0.500 0.500 0.500  0.33
Cu1 0.000 0.000 0.500  0.03
Cu2 0.500 0.000 0.000  0.01
W1 0.000 0.000 0.000  0.07
Cl1 0.000 0.500 0.000  0.00

## Properties
- Total DFT energy (no corrections): -0.2825 Ry/atom


No. 12
Compound: La8SiIr3Cl4
Source: the Alexandria database
Functional: GGA-PBE
Structure: relaxed

Cell lengths 8.517, 8.960, 8.518 Å; angles 118.40, 119.99, 90.00 degrees
Atoms (fractional coordinates):
La1 0.242 0.708 0.968
La2 0.241 0.706 0.483
La3 0.263 0.290 0.527
La4 0.725 0.708 0.968
La5 0.275 0.292 0.032
La6 0.737 0.710 0.473
La7 0.759 0.294 0.517
La8 0.758 0.292 0.032
Si1 0.000 0.500 0.000
Ir1 0.500 0.500 0.000
Ir2 0.500 0.500 0.500
Ir3 0.000 0.500 0.500
Cl1 0.500 0.000 0.000
Cl2 0.500 0.000 0.500
Cl3 0.000 0.000 0.000
Cl4 0.000 0.000 0.500

## Properties
- Total DFT energy (no corrections): -0.4575 Ry/atom


No. 13
Compound: Sm3Si2Au3
Source: the Alexandria database
Functional: GGA-PBE
Structure: relaxed

Cell lengths 4.319, 5.818, 15.222 Å; angles 90.00, 90.00, 111.79 degrees
Atoms (fractional coordinates):
Sm1 0.916 0.833 0.395
Sm2 0.084 0.167 0.895
Sm3 0.916 0.833 0.105
Sm4 0.084 0.167 0.605
Sm5 0.629 0.258 0.250
Sm6 0.371 0.742 0.750
Si1 0.795 0.589 0.892
Si2 0.205 0.411 0.392
Si3 0.795 0.589 0.608
Si4 0.205 0.411 0.108
Au1 0.625 0.250 0.460
Au2 0.375 0.750 0.960
Au3 0.625 0.250 0.040
Au4 0.375 0.750 0.540
Au5 0.347 0.695 0.250
Au6 0.653 0.305 0.750

## Properties
- Total DFT energy (no corrections): -0.3771 Ry/atom


No. 14
Compound: ErTm2Pu
Source: the Alexandria database
Functional: GGA-PBE
Structure: relaxed

Cell lengths 3.398, 3.398, 12.234 Å; angles 82.02, 82.02, 60.00 degrees
Last column: magnetic moment on the atom in μB.
Atoms (fractional coordinates):
Er1 0.500 0.500 0.500  -0.02
Tm1 0.089 0.089 0.732  0.05
Tm2 0.911 0.911 0.268  0.05
Pu1 0.000 0.000 0.000  5.80

## Properties
- Energy above the most stable polymorph in this dataset: 0.176 eV per atom
- ΔH_f (0 K): 0.258 eV per atom


No. 15
Compound: Pr6Al2N
Source: the Alexandria database
Functional: GGA-PBE
Structure: relaxed

Cell lengths 7.117, 7.117, 7.117 Å; angles 60.00, 60.00, 60.00 degrees
Atoms (fractional coordinates):
Pr1 0.255 0.255 0.745
Pr2 0.255 0.746 0.254
Pr3 0.745 0.254 0.746
Pr4 0.746 0.255 0.254
Pr5 0.254 0.745 0.746
Pr6 0.745 0.745 0.255
Al1 0.250 0.250 0.250
Al2 0.750 0.750 0.750
N1 0.500 0.500 0.500

## Properties
- Total DFT energy (no corrections): -0.3936 Ry/atom


No. 16
Compound: Ho7Ga2Au2
Source: the Alexandria database
Functional: GGA-PBE
Structure: relaxed

Cell lengths 6.683, 7.232, 6.683 Å; angles 89.99, 108.79, 90.01 degrees
Atoms (fractional coordinates):
Ho1 0.000 0.275 0.500
Ho2 0.500 0.725 0.000
Ho3 0.000 0.725 0.500
Ho4 0.500 0.275 0.000
Ho5 0.000 0.000 0.000
Ho6 0.500 0.737 0.500
Ho7 0.500 0.263 0.500
Ga1 0.832 0.500 0.832
Ga2 0.168 0.500 0.168
Au1 0.708 0.000 0.292
Au2 0.292 0.000 0.708

## Properties
- ΔH_f (0 K): -0.309 eV per atom


No. 17
Compound: Pm7ErAl4
Source: the Alexandria database
Functional: GGA-PBE
Structure: relaxed

Cell lengths 5.617, 9.276, 7.578 Å; angles 77.51, 68.25, 72.38 degrees
Atoms (fractional coordinates):
Pm1 0.793 0.880 0.533
Pm2 0.207 0.120 0.467
Pm3 0.066 0.613 0.256
Pm4 0.934 0.387 0.744
Pm5 0.294 0.649 0.763
Pm6 0.500 0.000 0.000
Pm7 0.706 0.351 0.237
Er1 0.000 0.000 0.000
Al1 0.552 0.240 0.656
Al2 0.448 0.760 0.344
Al3 0.675 0.668 0.982
Al4 0.325 0.332 0.018

## Properties
- ΔH_f (0 K): -0.066 eV per atom


No. 18
Compound: TiTl2Cl
Source: the Alexandria database
Functional: GGA-PBE
Structure: relaxed

Cell lengths 10.183, 10.183, 7.576 Å; angles 47.78, 47.78, 90.00 degrees
Last column: magnetic moment on the atom in μB.
Atoms (fractional coordinates):
Tl1 0.744 0.125 0.250  0.03
Tl2 0.006 0.625 0.250  0.03
Tl3 0.375 0.256 0.750  0.04
Tl4 0.875 0.994 0.750  0.03
Cl1 0.500 0.500 0.000  -0.02
Cl2 0.250 0.750 0.500  -0.02
Ti1 0.000 0.000 0.000  1.21
Ti2 0.750 0.250 0.500  1.23

## Properties
- Energy above the most stable polymorph in this dataset: 0.000 eV per atom


No. 19
Compound: CuOsPb4
Source: the Alexandria database
Functional: GGA-PBE
Structure: relaxed

Cell lengths 6.181, 6.181, 6.181 Å; angles 60.00, 60.00, 60.00 degrees
Last column: magnetic moment on the atom in μB.
Atoms (fractional coordinates):
Cu1 0.750 0.750 0.750  -0.01
Os1 0.000 0.000 0.000  1.39
Pb1 0.876 0.375 0.375  -0.02
Pb2 0.375 0.375 0.876  -0.02
Pb3 0.375 0.876 0.375  -0.02
Pb4 0.375 0.375 0.375  -0.02

## Properties
- ΔH_f (0 K): 1.311 eV per atom


No. 20
Compound: Dy4CdCu2Os
Source: the Alexandria database
Functional: GGA-PBE
Structure: relaxed

Cell lengths 4.995, 4.995, 8.626 Å; angles 73.17, 73.17, 60.00 degrees
Atoms (fractional coordinates):
Dy1 0.384 0.384 0.849
Dy2 0.868 0.868 0.397
Dy3 0.132 0.132 0.603
Dy4 0.616 0.616 0.151
Cd1 0.000 0.000 0.000
Cu1 0.744 0.744 0.769
Cu2 0.256 0.256 0.231
Os1 0.500 0.500 0.500

## Properties
- ΔH_f (0 K): -0.273 eV per atom


no.,DOS at the Fermi energy (states/eV per atom),magnetization (μB/f.u.)
1,0.33,0.00
2,0.00,0.00
3,0.46,0.00
4,0.31,0.00
5,0.38,0.00
6,0.59,0.00
7,0.55,1.78
8,2.45,8.97
9,0.79,8.68
10,0.53,7.00
11,0.77,0.89
12,0.86,0.00
13,0.53,0.00
14,2.83,6.35
15,0.70,0.01
16,1.05,0.00
17,1.09,0.00
18,0.84,1.67
19,1.12,1.29
20,0.64,0.00